1.
A relaxed CdNiPb2 crystal. Source: Alexandria via LeMat-Bulk, functional PBE-GGA.

Space group: No. 225
Energy of formation (meV per atom): 300
Energy above the most stable polymorph in this dataset (eV/atom): 0.193
Density (g cm⁻³): 10.40
Magnetization (μB per atom): 0.000

```
data_CdNiPb2
_space_group_name_H-M_alt 'P 1'
_space_group_IT_number 1
_cell_length_a 5.0951
_cell_length_b 5.0951
_cell_length_c 5.0951
_cell_angle_alpha 60.00
_cell_angle_beta 60.00
_cell_angle_gamma 60.00
loop_
_space_group_symop_operation_xyz
'x,y,z'
loop_
_atom_site_label
_atom_site_type_symbol
_atom_site_fract_x
_atom_site_fract_y
_atom_site_fract_z
_atom_site_occupancy
Cd1 Cd 0.0000 0.0000 0.0000 1
Ni1 Ni 0.5000 0.5000 0.5000 1
Pb1 Pb 0.2500 0.2500 0.2500 1
Pb2 Pb 0.7500 0.7500 0.7500 1
```

2.
A relaxed LiPuCl2 crystal. Source: Alexandria via LeMat-Bulk, functional PBE-GGA.

Space group: No. 166
Formation energy from raw total energies (eV/f.u.): -5.22
Density (g cm⁻³): 5.51
Magnetization (μB per atom): 1.572

```
data_LiPuCl2
_space_group_name_H-M_alt 'P 1'
_space_group_IT_number 1
_cell_length_a 8.5703
_cell_length_b 8.5703
_cell_length_c 8.5703
_cell_angle_alpha 24.74
_cell_angle_beta 24.74
_cell_angle_gamma 24.74
loop_
_space_group_symop_operation_xyz
'x,y,z'
loop_
_atom_site_label
_atom_site_type_symbol
_atom_site_fract_x
_atom_site_fract_y
_atom_site_fract_z
_atom_site_occupancy
Li1 Li 0.0000 0.0000 0.0000 1
Pu1 Pu 0.5000 0.5000 0.5000 1
Cl1 Cl 0.3907 0.3907 0.3907 1
Cl2 Cl 0.6093 0.6093 0.6093 1
```

3.
A relaxed CsMnPb2Cl8 crystal. Source: Alexandria via LeMat-Bulk, functional PBE-GGA.

Space group: No. 2
Formation energy from raw total energies (eV/f.u.): -15.03
Density (g cm⁻³): 3.74
Magnetization (μB per atom): 0.333

```
data_CsMnPb2Cl8
_space_group_name_H-M_alt 'P 1'
_space_group_IT_number 1
_cell_length_a 6.7768
_cell_length_b 7.1077
_cell_length_c 8.5520
_cell_angle_alpha 107.19
_cell_angle_beta 91.02
_cell_angle_gamma 90.56
loop_
_space_group_symop_operation_xyz
'x,y,z'
loop_
_atom_site_label
_atom_site_type_symbol
_atom_site_fract_x
_atom_site_fract_y
_atom_site_fract_z
_atom_site_occupancy
Cs1 Cs 0.0000 0.0000 0.0000 1
Mn1 Mn 0.0000 0.5000 0.5000 1
Pb1 Pb 0.4519 0.4578 0.7452 1
Pb2 Pb 0.5481 0.5422 0.2548 1
Cl1 Cl 0.0565 0.4123 0.7789 1
Cl2 Cl 0.2368 0.2755 0.3829 1
Cl3 Cl 0.2416 0.7406 0.5880 1
Cl4 Cl 0.4791 0.7647 0.0308 1
Cl5 Cl 0.5209 0.2353 0.9692 1
Cl6 Cl 0.7584 0.2594 0.4120 1
Cl7 Cl 0.7632 0.7245 0.6171 1
Cl8 Cl 0.9435 0.5877 0.2211 1
```

4.
A relaxed Pm2SiGe crystal. Source: Alexandria via LeMat-Bulk, functional PBE-GGA.

Space group: No. 123
Formation energy from raw total energies (eV/f.u.): -2.16
Density (g cm⁻³): 6.82
Magnetization (μB per atom): 0.000

```
data_Pm2SiGe
_space_group_name_H-M_alt 'P 1'
_space_group_IT_number 1
_cell_length_a 3.4045
_cell_length_b 3.4045
_cell_length_c 8.2104
_cell_angle_alpha 90.00
_cell_angle_beta 90.00
_cell_angle_gamma 90.00
loop_
_space_group_symop_operation_xyz
'x,y,z'
loop_
_atom_site_label
_atom_site_type_symbol
_atom_site_fract_x
_atom_site_fract_y
_atom_site_fract_z
_atom_site_occupancy
Pm1 Pm 0.0000 0.0000 0.2452 1
Pm2 Pm 0.0000 0.0000 0.7548 1
Si1 Si 0.5000 0.5000 0.0000 1
Ge1 Ge 0.5000 0.5000 0.5000 1
```

What is the magnetization in the fourth record? 0.000 μB per atom